# CuSbTe2Mo, optimized geometry, DFT PBE
data_CuSbTe2Mo
_chemical_formula_sum 'Cu1 Sb1 Te2 Mo1'
_cell_length_a 5.2441
_cell_length_b 5.2441
_cell_length_c 5.3033
_cell_angle_alpha 90.00
_cell_angle_beta 90.00
_cell_angle_gamma 90.00
_symmetry_space_group_name_H-M 'P 4/m m m'
_symmetry_Int_Tables_number 123
_symmetry_space_group_name_Hall '-P 4 2'
loop_
_atom_site_label
_atom_site_type_symbol
_atom_site_fract_x
_atom_site_fract_y
_atom_site_fract_z
_atom_site_occupancy
Cu1 Cu 0.0000 0.0000 0.0000 1
Sb1 Sb 0.5000 0.5000 0.0000 1
Te1 Te 0.0000 0.5000 0.5000 1
Mo1 Mo 0.5000 0.5000 0.5000 1
# Formation energy from raw total energies (eV per atom): 0.7673
# Energy above the lowest structure with this stoichiometry (meV per atom): 0